Entry 1:
## CuReB (PBE-GGA)

Data for a geometry-optimized CuReB structure.

Summary:
Its energy is -6.42 eV/atom. The calculated density is 10.7 g/cm³.

Cell lengths 5.4442, 5.4442, 5.4442 Å; angles 90.00, 90.00, 90.00 degrees
Closest atoms and distances in Å follow each position.
Sites, in units of the cell vectors:
Cu 0.0000 0.0000 0.0000  4 Re 2.36
Cu 0.0000 0.5000 0.5000  4 Re 2.36
Cu 0.5000 0.0000 0.5000  4 Re 2.36
Cu 0.5000 0.5000 0.0000  4 Re 2.36
Re 0.2500 0.2500 0.7500  4 Cu 2.36, 4 B 2.36
Re 0.2500 0.7500 0.2500  4 Cu 2.36, 4 B 2.36
Re 0.7500 0.2500 0.2500  4 Cu 2.36, 4 B 2.36
Re 0.7500 0.7500 0.7500  4 B 2.36, 4 Cu 2.36
B 0.0000 0.0000 0.5000  4 Re 2.36
B 0.0000 0.5000 0.0000  4 Re 2.36
B 0.5000 0.0000 0.0000  4 Re 2.36
B 0.5000 0.5000 0.5000  4 Re 2.36

---

Entry 2:
## CuReBW (PBE-GGA)

Data for a geometry-optimized CuReBW structure.

Summary:
Its energy is -8.19 eV/atom. The calculated density is 14.3 g/cm³. As for the offset from the most stable computed form: 0.0 meV/atom.

Cell lengths 5.9158, 5.9158, 5.9158 Å; angles 90.00, 90.00, 90.00 degrees
Closest atoms and distances in Å follow each position.
Sites, in units of the cell vectors:
Cu 0.0000 0.0000 0.0000  4 W 2.56, 4 B 2.56
Cu 0.0000 0.5000 0.5000  4 W 2.56, 4 B 2.56
Cu 0.5000 0.0000 0.5000  4 W 2.56, 4 B 2.56
Cu 0.5000 0.5000 0.0000  4 W 2.56, 4 B 2.56
Re 0.0000 0.0000 0.5000  4 W 2.56, 4 B 2.56
Re 0.0000 0.5000 0.0000  4 W 2.56, 4 B 2.56
Re 0.5000 0.0000 0.0000  4 W 2.56, 4 B 2.56
Re 0.5000 0.5000 0.5000  4 W 2.56, 4 B 2.56
B 0.2500 0.2500 0.7500  4 Re 2.56, 4 Cu 2.56
B 0.2500 0.7500 0.2500  4 Re 2.56, 4 Cu 2.56
B 0.7500 0.2500 0.2500  4 Re 2.56, 4 Cu 2.56
B 0.7500 0.7500 0.7500  4 Re 2.56, 4 Cu 2.56
W 0.2500 0.2500 0.2500  4 Re 2.56, 4 Cu 2.56
W 0.2500 0.7500 0.7500  4 Re 2.56, 4 Cu 2.56
W 0.7500 0.2500 0.7500  4 Re 2.56, 4 Cu 2.56
W 0.7500 0.7500 0.2500  4 Re 2.56, 4 Cu 2.56

---

Entry 3:
## Cu2B2SeS3 (PBE-GGA)

Data for a geometry-optimized Cu2B2SeS3 structure.

Summary:
Its energy is -4.86 eV/atom. The calculated density is 4.5 g/cm³.

Cell lengths 10.4735, 5.0475, 5.1539 Å; angles 90.00, 118.39, 90.00 degrees
Closest atoms and distances in Å follow each position.
Sites, in units of the cell vectors:
Cu 0.1335 0.0000 0.3725  3 S 2.27-2.30, 1 Se 2.40
Cu 0.3665 0.5000 0.6275  3 S 2.27-2.30, 1 Se 2.40
Cu 0.6335 0.5000 0.3725  3 S 2.27-2.30, 1 Se 2.40
Cu 0.8665 0.0000 0.6275  3 S 2.27-2.30, 1 Se 2.40
B 0.1288 0.5245 0.8887  3 S 1.95-1.96, 1 Se 2.10
B 0.3712 0.0245 0.1113  3 S 1.95-1.96, 1 Se 2.10
B 0.6288 0.0245 0.8887  3 S 1.95-1.96, 1 Se 2.10
B 0.8712 0.5245 0.1113  3 S 1.95-1.96, 1 Se 2.10
Se 0.0000 0.3131 0.5000  2 B 2.10
Se 0.5000 0.8131 0.5000  2 B 2.10
S 0.0000 0.7160 0.0000  2 B 1.95
S 0.2501 0.2690 0.1920  2 B 1.95-1.96
S 0.2499 0.7690 0.8080  2 B 1.95-1.96
S 0.5000 0.2160 0.0000  2 B 1.95
S 0.7499 0.2690 0.8080  2 B 1.95-1.96
S 0.7501 0.7690 0.1920  2 B 1.95-1.96

---

Entry 4:
## CuBSeS (PBE-GGA)

Data for a geometry-optimized CuBSeS structure.

Summary:
Its energy is -4.72 eV/atom. The calculated density is 4.9 g/cm³.

Cell lengths 5.0706, 5.2764, 9.3876 Å; angles 90.00, 90.00, 90.00 degrees
Closest atoms and distances in Å follow each position.
Sites, in units of the cell vectors:
Cu 0.0000 0.2500 0.1083  2 S 2.31, 2 Se 2.39
Cu 0.0000 0.7500 0.3917  2 S 2.31, 2 Se 2.39
Cu 0.5000 0.2500 0.8917  2 S 2.31, 2 Se 2.39
Cu 0.5000 0.7500 0.6083  2 S 2.31, 2 Se 2.39
B 0.0000 0.2500 0.6175  2 S 1.95, 2 Se 2.10
B 0.0000 0.7500 0.8825  2 S 1.95, 2 Se 2.10
B 0.5000 0.2500 0.3825  2 S 1.95, 2 Se 2.10
B 0.5000 0.7500 0.1175  2 S 1.95, 2 Se 2.10
Se 0.2081 0.0000 0.7500  2 B 2.10
Se 0.2919 0.0000 0.2500  2 B 2.10
Se 0.7081 0.5000 0.2500  2 B 2.10
Se 0.7919 0.5000 0.7500  2 B 2.10
S 0.2500 0.4390 0.5000  2 B 1.95
S 0.2500 0.5610 0.0000  2 B 1.95
S 0.7500 0.0610 0.5000  2 B 1.95
S 0.7500 0.9390 0.0000  2 B 1.95

---

Entry 5:
## CuBSeS (PBE-GGA)

Data for a geometry-optimized CuBSeS structure.

Summary:
Its energy is -4.73 eV/atom. The calculated density is 4.9 g/cm³.

Cell lengths 7.3261, 7.3270, 5.8705 Å; angles 90.00, 127.09, 90.00 degrees
Closest atoms and distances in Å follow each position.
Sites, in units of the cell vectors:
Cu 0.0000 0.1355 0.0000  2 S 2.28, 2 Se 2.41-2.42
Cu 0.0000 0.8645 0.5000  2 S 2.28, 2 Se 2.41-2.42
Cu 0.5000 0.3645 0.5000  2 S 2.28, 2 Se 2.41-2.42
Cu 0.5000 0.6355 0.0000  2 S 2.28, 2 Se 2.41-2.42
B 0.4765 0.1139 0.9999  2 S 1.95, 2 Se 2.10-2.11
B 0.4765 0.8861 0.4999  2 S 1.95, 2 Se 2.10-2.11
B 0.9765 0.3861 0.4999  2 S 1.95, 2 Se 2.10-2.11
B 0.9765 0.6139 0.9999  2 S 1.95, 2 Se 2.10-2.11
Se 0.3338 0.3507 0.7499  2 B 2.10-2.11
Se 0.3338 0.6493 0.2499  2 B 2.10-2.11
Se 0.8338 0.1493 0.2499  2 B 2.10-2.11
Se 0.8338 0.8507 0.7499  2 B 2.10-2.11
S 0.3848 0.0977 0.2498  2 B 1.95
S 0.3848 0.9023 0.7498  2 B 1.95
S 0.8848 0.4023 0.7498  2 B 1.95
S 0.8848 0.5977 0.2498  2 B 1.95

---

Entry 6:
## TlCu2BS4 (PBE-GGA)

Data for a geometry-optimized TlCu2BS4 structure.

Summary:
Its energy is -4.37 eV/atom. The calculated density is 5.3 g/cm³.

Cell lengths 5.2944, 5.2944, 10.4374 Å; angles 90.00, 90.00, 90.00 degrees
Closest atoms and distances in Å follow each position.
Sites, in units of the cell vectors:
Tl 0.0000 0.0000 0.0000  4 S 2.57
Tl 0.5000 0.5000 0.5000  4 S 2.57
Cu 0.0000 0.0000 0.5000  4 S 2.31
Cu 0.0000 0.5000 0.2500  4 S 2.38
Cu 0.5000 0.0000 0.7500  4 S 2.38
Cu 0.5000 0.5000 0.0000  4 S 2.31
B 0.0000 0.5000 0.7500  4 S 1.95
B 0.5000 0.0000 0.2500  4 S 1.95
S 0.1934 0.2603 0.6475  1 B 1.95
S 0.2397 0.6934 0.8525  1 B 1.95
S 0.2603 0.8066 0.3525  1 B 1.95
S 0.3066 0.2397 0.1475  1 B 1.95
S 0.6934 0.7603 0.1475  1 B 1.95
S 0.7397 0.1934 0.3525  1 B 1.95
S 0.7603 0.3066 0.8525  1 B 1.95
S 0.8066 0.7397 0.6475  1 B 1.95